The following is a PBE with a Hubbard U calculation of crystalline RbUCrIO10 at its relaxed geometry, from Alexandria via LeMat-Bulk.

Unit cell a=7.340 b=8.365 c=8.900 alpha=88.42 beta=87.65 gamma=71.10
Last column: magnetic moment on the atom in μB.
Element x y z (fractional)
U 0.859 0.840 0.790  -0.01
U 0.141 0.160 0.210  -0.01
O 0.199 0.027 0.045  0.04
O 0.874 0.067 0.275  0.03
O 0.024 0.659 0.202  0.00
O 0.560 0.348 0.358  0.04
O 0.145 0.654 0.906  0.03
O 0.801 0.973 0.955  0.04
O 0.509 0.946 0.754  0.21
O 0.734 0.640 0.901  -0.01
O 0.697 0.055 0.629  1.13
O 0.614 0.366 0.866  0.00
O 0.126 0.933 0.725  0.03
O 0.491 0.054 0.246  0.21
O 0.976 0.341 0.798  0.00
O 0.266 0.360 0.099  -0.01
O 0.303 0.945 0.371  1.13
O 0.386 0.634 0.134  0.00
O 0.440 0.652 0.642  0.04
O 0.911 0.708 0.624  0.07
O 0.089 0.292 0.376  0.07
O 0.855 0.346 0.094  0.03
I 0.361 0.799 0.794  0.04
I 0.639 0.201 0.206  0.04
Cr 0.204 0.577 0.089  0.01
Cr 0.796 0.423 0.911  0.01
Rb 0.322 0.344 0.636  0.00
Rb 0.678 0.656 0.364  0.00

* total moment: 0.137 μB/atom
* mass density: 4.3 g/cm³
* total DFT energy (no corrections): -6.421 eV/atom